DFT (PBE) results for an optimized crystal structure of Rb2TlAsS4.

a b c (Å): 6.400 7.913 12.110
angles (deg): 83.86 74.68 66.15
Positions (direct):
Rb 0.181 0.000 0.638
Rb 0.819 0.000 0.362
Rb 0.569 0.500 0.862
Rb 0.931 0.500 0.138
Tl 0.750 0.500 0.500
Tl 0.000 0.000 0.000
As 0.250 0.500 0.500
As 0.500 0.000 0.000
S 0.304 0.796 0.111
S 0.211 0.204 0.889
S 0.900 0.796 0.889
S 0.585 0.204 0.111
S 0.446 0.704 0.389
S 0.539 0.296 0.611
S 0.850 0.704 0.611
S 0.165 0.296 0.389

Calculated values
- ΔE_f (raw) (eV per atom) = -0.480
- size of the total moment (μB/atom) = 0.000
- calculated volume (Å³ per cell) = 541
- energy (eV for the cell shown) = -58.61
- space group = Fddd, No. 70